A plane-wave DFT calculation with PBE+U was carried out for a relaxed structure of Dy2CoF8.

Lattice parameters (Å, degrees): 9.5384 7.1065 4.6544 90.00 108.21 90.00
Closest atoms and distances in Å follow each position.
Space group C2/m (No. 12)
One atom of each set of equivalent atoms:
Dy: 0.1755 0.0000 0.3876 (multiplicity 4)  7 F 2.12-2.36
Co: 0.0000 0.5000 0.0000 (multiplicity 2)  6 F 1.95-2.09
F: 0.0776 0.0000 0.7936 (multiplicity 4)  2 Dy 2.29-2.36
F: 0.1357 0.5000 0.7614 (multiplicity 4)  1 Co 1.95, 1 Dy 2.12
F: 0.1490 0.3073 0.2703 (multiplicity 8)  1 Co 2.09, 1 Dy 2.25

Summary:
The density of states at the Fermi level is 0.000 states/eV per atom. The final energy is -6.235 eV/atom. As for the calculated volume: 13.6 A^3/atom. Its mass density is 5.939 g/cm³.